Ac4V6O19 | PBE with a Hubbard U | relaxed

Properties
energy	-7.88	eV per atom
M_tot	8.00	μB per cell
ρ	6.7	g/cm3

```
data_Ac4V6O19
_space_group_name_H-M_alt 'I 2 3'
_space_group_IT_number 197
_space_group_name_Hall 'I 2 2 3'
_cell_length_a 9.097
_cell_length_b 9.097
_cell_length_c 9.097
_cell_angle_alpha 90.00
_cell_angle_beta 90.00
_cell_angle_gamma 90.00
loop_
_atom_site_label
_atom_site_type_symbol
_atom_site_fract_x
_atom_site_fract_y
_atom_site_fract_z
Ac1 Ac 0.163 0.163 0.837
V1 V 0.000 0.340 0.500
O1 O 0.000 0.000 0.000
O2 O 0.000 0.000 0.358
O3 O 0.031 0.333 0.292
```